No. 1
PBE MgCu2P, optimized geometry; energy of formation = 0.05 eV per atom
1.0
-2.813 0.981 -3.145
-4.144 0.801 0.973
-1.563 4.027 -0.329
Cu Mg P
2 1 1
Cartesian
0.000 0.000 0.000 Cu
-2.130 1.452 -0.625 Cu
-4.260 2.904 -1.250 Mg
-6.390 4.357 -1.875 P

---

No. 2
PBE BPd3Au, optimized geometry; energy of formation = 1.89 eV per atom
1.0
4.989 0.000 0.000
0.000 4.989 0.000
0.000 0.000 4.989
B Au Pd
1 1 3
Cartesian
2.494 2.494 2.494 B
0.000 0.000 0.000 Au
0.000 2.494 0.000 Pd
0.000 0.000 2.494 Pd
2.494 0.000 0.000 Pd

---

No. 3
PBE VCo2Mo2, optimized geometry; energy of formation = 0.12 eV per atom
1.0
-5.268 -3.063 -0.178
0.979 -2.013 5.671
-1.727 2.894 1.325
Mo Co V
4 4 2
Cartesian
-1.114 -0.435 4.446 Mo
-3.596 -2.278 5.236 Mo
-4.902 -1.747 2.373 Mo
-2.420 0.097 1.583 Mo
-1.092 -2.878 4.861 Co
-3.959 -3.931 3.426 Co
-3.197 -2.198 0.632 Co
-0.331 -1.144 2.068 Co
0.000 0.000 0.000 V
-2.145 -2.538 2.747 V

---

Results for volume: 14.368, 24.829, 13.458 (in A^3/atom, following the order of the records).